No. 1
DFT (GGA-PBE) results for a geometry-optimized Pd2Pb2I structure.

```
Pd2Pb2I
1.0
-2.364 2.364 5.935
2.364 -2.364 5.935
2.364 2.364 -5.935
Pd Pb I
2 2 1
Direct
0.115 0.115 0.000
0.885 0.885 0.000
0.250 0.750 0.500
0.750 0.250 0.500
0.500 0.500 0.000
```

Results
Symmetry: No. 139
N(E_F) (states/eV/atom): 0.23
Density (g cm⁻³): 9.44
Energy above the most stable polymorph in this dataset (meV/atom): 100


No. 2
DFT (GGA-PBE) results for a geometry-optimized Mg2CdAs2 structure.

```
Mg2CdAs2
1.0
8.201 0.000 0.000
0.000 8.201 0.000
0.000 0.000 3.102
Mg Cd As
4 2 4
Direct
0.140 0.360 0.000
0.360 0.860 0.000
0.640 0.140 0.000
0.860 0.640 0.000
0.000 0.000 0.000
0.500 0.500 0.000
0.157 0.657 0.500
0.343 0.157 0.500
0.657 0.843 0.500
0.843 0.343 0.500
```

Results
Symmetry: No. 127
N(E_F) (states/eV/atom): 0.34
Density (g cm⁻³): 4.95
Formation energy from the elements (eV per atom): -0.18
Energy above the most stable polymorph in this dataset (meV/atom): 98


No. 3
DFT (GGA-PBE) results for a geometry-optimized Zn2TeP structure.

```
Zn2TeP
1.0
2.803 -3.716 0.000
2.803 3.716 0.000
0.000 0.000 3.783
Zn Te P
2 1 1
Direct
0.000 0.500 0.000
0.500 0.000 0.000
0.000 0.000 0.500
0.500 0.500 0.500
```

Results
Symmetry: No. 65
N(E_F) (states/eV/atom): 0.53
Density (g cm⁻³): 6.10
Energy above the most stable polymorph in this dataset (meV/atom): 536


No. 4
DFT (GGA-PBE) results for a geometry-optimized NdGaPtRh structure.

```
NdGaPtRh
1.0
-1.962 2.021 5.503
1.962 -2.021 5.503
1.962 2.021 -5.503
Nd Ga Pt Rh
1 1 1 1
Direct
0.000 0.000 0.000
0.745 0.245 0.500
0.375 0.375 0.000
0.614 0.614 0.000
```

Results
Symmetry: No. 44
N(E_F) (states/eV/atom): 0.39
Density (g cm⁻³): 9.74
Formation energy from the elements (eV per atom): -0.63


No. 5
DFT (GGA-PBE) results for a geometry-optimized MnNiHg2 structure.

```
MnNiHg2
1.0
-2.009 2.009 4.275
2.009 -2.009 4.275
2.009 2.009 -4.275
Mn Ni Hg
1 1 2
Direct
0.000 0.000 0.000
0.250 0.750 0.500
0.500 0.500 0.000
0.750 0.250 0.500
```

Results
Symmetry: No. 119
N(E_F) (states/eV/atom): 0.65
Density (g cm⁻³): 12.39
Formation energy from the elements (eV per atom): 0.31
Energy above the most stable polymorph in this dataset (meV/atom): 51


No. 6
DFT (GGA-PBE) results for a geometry-optimized Rb2BeHgP structure.

```
Rb2BeHgP
1.0
6.880 0.000 0.000
0.000 6.880 0.000
0.000 0.000 3.928
Rb Be Hg P
2 1 1 1
Direct
0.000 0.500 0.000
0.500 0.000 0.000
0.000 0.000 0.500
0.500 0.500 0.500
0.000 0.000 0.000
```

Results
Symmetry: No. 123
N(E_F) (states/eV/atom): 0.60
Density (g cm⁻³): 3.67
Formation energy from the elements (eV per atom): -0.11


No. 7
DFT (GGA-PBE) results for a geometry-optimized SiSn2Sb structure.

```
SiSn2Sb
1.0
-3.306 3.306 6.066
3.306 -3.306 6.066
3.306 3.306 -6.066
Si Sn Sb
2 4 2
Direct
0.000 0.000 0.000
0.750 0.250 0.500
0.086 0.625 0.961
0.375 0.336 0.461
0.664 0.125 0.039
0.875 0.914 0.539
0.250 0.750 0.500
0.500 0.500 0.000
```

Results
Symmetry: No. 122
N(E_F) (states/eV/atom): 0.64
Density (g cm⁻³): 4.85
Energy above the most stable polymorph in this dataset (meV/atom): 0


No. 8
DFT (GGA-PBE) results for a geometry-optimized BeInCo2 structure.

```
BeInCo2
1.0
-1.888 1.888 8.176
1.888 -1.888 8.176
1.888 1.888 -8.176
Be In Co
2 2 4
Direct
0.000 0.000 0.000
0.750 0.250 0.500
0.250 0.750 0.500
0.500 0.500 0.000
0.023 0.625 0.898
0.375 0.273 0.398
0.727 0.125 0.102
0.875 0.977 0.602
```

Results
Symmetry: No. 122
N(E_F) (states/eV/atom): 0.41
Density (g cm⁻³): 6.89
Formation energy from the elements (eV per atom): 0.47


No. 9
DFT (GGA-PBE) results for a geometry-optimized PmMg3Pd3 structure.

```
PmMg3Pd3
1.0
4.707 2.718 1.827
-4.707 2.718 1.827
0.000 -5.435 1.827
Pm Mg Pd
1 3 3
Direct
0.000 0.000 0.000
0.185 0.612 0.612
0.612 0.185 0.612
0.612 0.612 0.185
0.123 0.123 0.607
0.123 0.607 0.123
0.607 0.123 0.123
```

Results
Symmetry: No. 160
N(E_F) (states/eV/atom): 0.41
Density (g cm⁻³): 6.36
Formation energy from the elements (eV per atom): -0.59


No. 10
DFT (GGA-PBE) results for a geometry-optimized AlAs2Os structure.

```
AlAs2Os
1.0
4.138 -1.516 0.000
4.138 1.516 0.000
-0.868 0.000 6.190
Al As Os
1 2 1
Direct
0.000 0.000 0.000
0.259 0.259 0.832
0.466 0.466 0.359
0.738 0.738 0.180
```

Results
Symmetry: No. 8
N(E_F) (states/eV/atom): 0.54
Density (g cm⁻³): 7.85
Formation energy from the elements (eV per atom): 0.06


No. 11
DFT (GGA-PBE) results for a geometry-optimized CdB2F8 structure.

```
CdB2F8
1.0
4.799 -3.425 0.000
4.799 3.425 0.000
-3.015 0.000 9.230
Cd B F
2 4 16
Direct
0.203 0.797 0.750
0.797 0.203 0.250
0.181 0.220 0.576
0.220 0.181 0.076
0.780 0.819 0.924
0.819 0.780 0.424
0.009 0.674 0.882
0.040 0.707 0.380
0.147 0.186 0.421
0.186 0.147 0.921
0.293 0.960 0.120
0.317 0.394 0.638
0.326 0.991 0.618
0.394 0.317 0.138
0.606 0.683 0.862
0.674 0.009 0.382
0.683 0.606 0.362
0.707 0.040 0.880
0.814 0.853 0.079
0.853 0.814 0.579
0.960 0.293 0.620
0.991 0.326 0.118
```

Results
Symmetry: No. 15
N(E_F) (states/eV/atom): 0.00
Density (g cm⁻³): 3.13
Energy above the most stable polymorph in this dataset (meV/atom): 12


No. 12
DFT (GGA-PBE) results for a geometry-optimized Rb3SrLa2O6 structure.

```
Rb3SrLa2O6
1.0
3.258 -5.634 0.000
3.258 5.634 0.000
-2.180 0.000 6.605
Rb Sr La O
3 1 2 6
Direct
0.000 0.000 0.000
0.336 0.664 0.000
0.664 0.336 0.000
0.500 0.500 0.500
0.167 0.833 0.500
0.833 0.167 0.500
0.088 0.438 0.313
0.212 0.212 0.685
0.438 0.088 0.313
0.562 0.912 0.687
0.788 0.788 0.315
0.912 0.562 0.687
```

Results
Symmetry: No. 12
Electronic total energy (eV/atom): -5.999
N(E_F) (states/eV/atom): 1.23
Density (g cm⁻³): 4.92